The following is a GGA-PBE calculation of a relaxed structure of K14TlO, from Alexandria.

Cell: 11.6257 11.0331 16.6621 Å, 90.00 90.00 90.00°
Last column: nearest neighbours and their distance in Å.
Space group Amm2 (No. 38)
Symmetry-distinct sites (fractional):
K: 0.0000 0.0000 0.0000 [2 per cell]  10 K 4.62-4.91
K: 0.0000 0.0000 0.4283 [2 per cell]  8 K 4.40-4.81
K: 0.0000 0.2005 0.7183 [4 per cell]  7 K 4.43-4.91
K: 0.2720 0.0000 0.2200 [4 per cell]  1 Tl 3.81
K: 0.3010 0.2184 0.4980 [8 per cell]  1 Tl 3.99, 3 K 4.06-4.40
K: 0.3267 0.0000 0.8422 [4 per cell]  1 O 2.42
K: 0.5000 0.1982 0.7010 [4 per cell]  1 O 2.41
Tl: 0.5000 0.0000 0.0560 [2 per cell]  10 K 3.81-4.11
O: 0.5000 0.0000 0.7622 [2 per cell]  4 K 2.41-2.42

Formation energy without anion corrections, meV per atom: -146.1
Total energy, eV/cell: -50.06
D(E_F), states/eV/cell: 18.91

The following is a GGA-PBE calculation of a relaxed structure of K11TlO2, from Alexandria.

Cell: 13.8550 13.8981 14.7459 Å, 90.00 90.00 90.00°
Last column: nearest neighbours and their distance in Å.
Space group Ibam (No. 72)
Symmetry-distinct sites (fractional):
K: 0.0000 0.0000 0.0000 [4 per cell]  2 O 3.02
K: 0.0667 0.2519 0.1288 [16 per cell]  1 O 2.66
K: 0.2114 0.2201 0.5000 [8 per cell]  1 O 2.55
K: 0.2459 0.4405 0.3729 [16 per cell]  1 O 2.65
Tl: 0.0000 0.5000 0.2500 [4 per cell]  8 K 3.95-3.99
O: 0.1559 0.1523 0.0000 [8 per cell]  5 K 2.55-2.66

Formation energy without anion corrections, meV per atom: -393.9
Total energy, eV/cell: -119.48
D(E_F), states/eV/cell: 29.69

The following is a GGA-PBE calculation of a relaxed structure of K8TlO6, from Alexandria.

Cell: 7.7115 8.1156 11.0473 Å, 90.00 90.00 90.00°
Last column: nearest neighbours and their distance in Å.
Space group Pmn2_1 (No. 31)
Symmetry-distinct sites (fractional):
K: 0.0000 0.1659 0.1581 [2 per cell]  2 O 2.49-2.51
K: 0.0000 0.1954 0.7023 [2 per cell]  3 O 2.64-2.75
K: 0.2053 0.6830 0.8163 [4 per cell]  3 O 2.63-2.67
K: 0.2072 0.5800 0.5000 [4 per cell]  3 O 2.62-2.75
K: 0.2159 0.9677 0.4713 [4 per cell]  4 O 2.57-2.88
Tl: 0.0000 0.7060 0.1737 [2 per cell]  4 O 2.22-2.23
O: 0.0000 0.2448 0.9385 [2 per cell]  4 K 2.51-2.75
O: 0.0000 0.4702 0.2772 [2 per cell]  1 Tl 2.23
O: 0.0000 0.7847 0.6362 [2 per cell]  6 K 2.67-2.88
O: 0.0000 0.9236 0.2966 [2 per cell]  1 Tl 2.23, 1 K 2.49
O: 0.2273 0.7290 0.0518 [4 per cell]  1 Tl 2.22

Formation energy without anion corrections, meV per atom: -958.3
Total energy, eV/cell: -110.54
D(E_F), states/eV/cell: 32.61

The following is a GGA-PBE calculation of a relaxed structure of KTlO2, from Alexandria.

Cell: 3.5075 6.8970 7.0576 Å, 113.20 90.22 90.06°
Last column: nearest neighbours and their distance in Å.
Space group P1 (No. 1)
Symmetry-distinct sites (fractional):
K: 0.0000 0.0000 0.0000 [1 per cell]  3 O 2.63-2.71
K: 0.0048 0.9190 0.5067 [1 per cell]  5 O 2.63-2.91
Tl: 0.0053 0.4624 0.9209 [1 per cell]  5 O 2.24-2.50
Tl: 0.5022 0.4172 0.4610 [1 per cell]  2 O 2.41
O: 0.0041 0.6121 0.6904 [1 per cell]  3 Tl 2.24-2.41
O: 0.5022 0.8972 0.2218 [1 per cell]  1 O 1.45
O: 0.5035 0.6709 0.1688 [1 per cell]  1 O 1.45
O: 0.5052 0.2300 0.8176 [1 per cell]  2 Tl 2.29-2.30

Formation energy without anion corrections, meV per atom: -822.7
Total energy, eV/cell: -33.34
D(E_F), states/eV/cell: 1.20

The following is a GGA-PBE calculation of a relaxed structure of KTlO2, from Alexandria.

Cell: 3.8626 4.9567 4.7281 Å, 90.00 112.09 90.00°
Last column: nearest neighbours and their distance in Å.
Space group Pm (No. 6)
Symmetry-distinct sites (fractional):
K: 0.0000 0.0000 0.0000 [1 per cell]  6 O 2.68-2.77
Tl: 0.3047 0.5000 0.5875 [1 per cell]  4 O 2.64-2.81
O: 0.6847 0.1522 0.3929 [2 per cell]  1 O 1.51

Formation energy without anion corrections, meV per atom: -664.1
Total energy, eV/cell: -16.04

The following is a GGA-PBE calculation of a relaxed structure of KTlO2, from Alexandria.

Cell: 3.4742 6.6892 7.0531 Å, 104.26 92.67 102.76°
Last column: nearest neighbours and their distance in Å.
Space group P1 (No. 1)
Symmetry-distinct sites (fractional):
K: 0.0000 0.0000 0.0000 [1 per cell]  5 O 2.69-2.83
K: 0.0320 0.9650 0.5188 [1 per cell]  4 O 2.66-2.90
Tl: 0.2796 0.4847 0.8374 [1 per cell]  3 O 2.15-2.36
Tl: 0.7706 0.4266 0.3641 [1 per cell]  3 O 2.44-2.49
O: 0.3841 0.6775 0.3180 [1 per cell]  1 O 1.47
O: 0.4093 0.7524 0.1381 [1 per cell]  1 O 1.47
O: 0.6044 0.2454 0.8388 [1 per cell]  1 Tl 2.15
O: 0.8989 0.6438 0.7046 [1 per cell]  1 Tl 2.18

Formation energy without anion corrections, meV per atom: -807.4
Total energy, eV/cell: -33.22

The following is a GGA-PBE calculation of a relaxed structure of K3TlO, from Alexandria.

Cell: 7.4089 14.6761 7.2062 Å, 90.00 107.65 90.00°
Last column: nearest neighbours and their distance in Å.
Space group Cc (No. 9)
Symmetry-distinct sites (fractional):
K: 0.0000 0.0452 0.0000 [4 per cell]  2 O 2.73-2.74
K: 0.0149 0.3197 0.8496 [4 per cell]  1 O 2.72
K: 0.3944 0.0688 0.7584 [4 per cell]  2 O 2.66-2.68
Tl: 0.0541 0.2000 0.3938 [4 per cell]  1 O 2.31
O: 0.2268 0.0710 0.3729 [4 per cell]  1 Tl 2.31

Formation energy without anion corrections, meV per atom: -602.9
Total energy, eV/cell: -54.52
D(E_F), states/eV/cell: 10.47
Excess energy over the best structure of this formula in the dataset, meV per atom: 0

The following is a GGA-PBE calculation of a relaxed structure of K2Tl2O, from Alexandria.

Cell: 6.7858 6.7858 7.1888 Å, 90.00 90.00 90.00°
Last column: nearest neighbours and their distance in Å.
Space group P4/mbm (No. 127)
Symmetry-distinct sites (fractional):
K: 0.1720 0.3280 0.0000 [4 per cell]  2 O 2.51
Tl: 0.1855 0.6855 0.5000 [4 per cell]  5 Tl 3.50-3.56, 2 K 3.85
O: 0.0000 0.0000 0.0000 [2 per cell]  4 K 2.51

Formation energy without anion corrections, meV per atom: -286.7
Total energy, eV/cell: -26.64
D(E_F), states/eV/cell: 5.84
Excess energy over the best structure of this formula in the dataset, meV per atom: 0

Q: Look up the total energy of the first one.
A: -50.06 eV/cell

Please write out number 2 again, unchanged.
The following is a GGA-PBE calculation of a relaxed structure of K11TlO2, from Alexandria.

Cell: 13.8550 13.8981 14.7459 Å, 90.00 90.00 90.00°
Last column: nearest neighbours and their distance in Å.
Space group Ibam (No. 72)
Symmetry-distinct sites (fractional):
K: 0.0000 0.0000 0.0000 [4 per cell]  2 O 3.02
K: 0.0667 0.2519 0.1288 [16 per cell]  1 O 2.66
K: 0.2114 0.2201 0.5000 [8 per cell]  1 O 2.55
K: 0.2459 0.4405 0.3729 [16 per cell]  1 O 2.65
Tl: 0.0000 0.5000 0.2500 [4 per cell]  8 K 3.95-3.99
O: 0.1559 0.1523 0.0000 [8 per cell]  5 K 2.55-2.66

Formation energy without anion corrections, meV per atom: -393.9
Total energy, eV/cell: -119.48
D(E_F), states/eV/cell: 29.69